Na2LiH6Os | GGA-PBE | optimized geometry

a b c (Å): 5.2295 5.2295 5.0717
angles (deg): 90.00 90.00 120.00
Space group P-3m1 (No. 164)
Unique sites:
Na  0.3333  0.6667  0.1502 [2 per cell]
Li  0.0000  0.0000  0.5000 [1 per cell]
H  0.1511  0.3022  0.7917 [6 per cell]
Os  0.0000  0.0000  0.0000 [1 per cell]

Computed properties:
DOS at the Fermi energy   5.96 states/eV per cell
Total DFT energy (no corrections)   -3.765 eV/atom

---

NaLiPH | GGA-PBE | optimized geometry

a b c (Å): 7.7068 4.3775 3.9572
angles (deg): 90.00 96.62 90.00
Space group Cm (No. 8)
Unique sites:
Na  0.0000  0.0000  0.0000 [2 per cell]
Li  0.3212  0.0000  0.5405 [2 per cell]
P  0.1523  0.5000  0.5523 [2 per cell]
H  0.1839  0.5000  0.1982 [2 per cell]

Computed properties:
Total DFT energy (no corrections)   -3.352 eV/atom

---

NaLi2HPb | GGA-PBE | optimized geometry

a b c (Å): 4.2987 4.2987 4.8257
angles (deg): 90.00 90.00 90.00
Space group P4/mmm (No. 123)
Unique sites:
Na  0.0000  0.0000  0.0000 [1 per cell]
Li  0.0000  0.5000  0.5000 [2 per cell]
H  0.0000  0.0000  0.5000 [1 per cell]
Pb  0.5000  0.5000  0.0000 [1 per cell]

Computed properties:
DOS at the Fermi energy   1.32 states/eV per cell
Total DFT energy (no corrections)   -2.593 eV/atom

---

Na2LiHPb | GGA-PBE | optimized geometry

a b c (Å): 5.1002 5.1002 3.9884
angles (deg): 90.00 90.00 90.00
Space group P4/mmm (No. 123)
Unique sites:
Na  0.0000  0.5000  0.0000 [2 per cell]
Li  0.0000  0.0000  0.5000 [1 per cell]
H  0.0000  0.0000  0.0000 [1 per cell]
Pb  0.5000  0.5000  0.5000 [1 per cell]

Computed properties:
Energy above the lowest structure with this stoichiometry   0.00 eV per formula unit
DOS at the Fermi energy   2.56 states/eV per cell

---

Na2LiHPb | GGA-PBE | optimized geometry

a b c (Å): 4.7770 4.7770 4.8348
angles (deg): 90.00 90.00 90.00
Space group P4/mmm (No. 123)
Unique sites:
Na  0.0000  0.5000  0.0000 [2 per cell]
Li  0.0000  0.0000  0.5000 [1 per cell]
H  0.5000  0.5000  0.0000 [1 per cell]
Pb  0.5000  0.5000  0.5000 [1 per cell]

Computed properties:
Energy above the lowest structure with this stoichiometry   0.60 eV per formula unit
DOS at the Fermi energy   2.20 states/eV per cell

---

Na2LiHPd | GGA-PBE | optimized geometry

a b c (Å): 4.5588 4.5588 4.0454
angles (deg): 90.00 90.00 90.00
Space group P4/mmm (No. 123)
Unique sites:
Na  0.0000  0.5000  0.0000 [2 per cell]
Li  0.0000  0.0000  0.5000 [1 per cell]
H  0.0000  0.0000  0.0000 [1 per cell]
Pd  0.5000  0.5000  0.5000 [1 per cell]

Computed properties:
DOS at the Fermi energy   0.47 states/eV per cell
Total DFT energy (no corrections)   -2.700 eV/atom

---

Number 1: magnetization 1.00 Bohr magnetons per cell. Number 2: magnetization 0.00 Bohr magnetons per cell. Number 3: magnetization 0.00 Bohr magnetons per cell. Number 4: magnetization 0.00 Bohr magnetons per cell. Number 5: magnetization 0.16 Bohr magnetons per cell. Number 6: magnetization 0.00 Bohr magnetons per cell.